Entry from Alexandria via LeMat-Bulk: crystalline RbVTe at its relaxed geometry (GGA-PBE).

Cell: 3.942 3.942 12.802 Å, 90.00 90.00 90.00°
Positions (direct):
1 Rb 0.250 0.250 0.175
2 Rb 0.750 0.750 0.825
3 V 0.250 0.750 0.500
4 V 0.750 0.250 0.500
5 Te 0.250 0.250 0.644
6 Te 0.750 0.750 0.356

## Properties
**Density**: 4.4 g cm⁻³
**Formation energy (no corrections)**: -90.7 kJ/mol of formula units
**Total DFT energy (no corrections)**: -4.723 eV per atom
**Crystal system**: tetragonal

=====

Entry from Alexandria via LeMat-Bulk: crystalline Rb2VTe2 at its relaxed geometry (GGA-PBE).

Cell: 9.071 9.071 9.071 Å, 128.19 70.61 135.53°
Positions (direct):
1 Rb 0.143 0.165 0.308
2 Rb 0.357 0.665 0.021
3 Rb 0.643 0.335 0.979
4 Rb 0.857 0.835 0.692
5 V 0.250 0.750 0.500
6 V 0.750 0.250 0.500
7 Te 0.104 0.687 0.791
8 Te 0.396 0.187 0.583
9 Te 0.604 0.813 0.417
10 Te 0.896 0.313 0.209

## Properties
**Density**: 3.9 g cm⁻³
**Formation energy (no corrections)**: -312.3 kJ/mol of formula units
**Total DFT energy (no corrections)**: -4.115 eV per atom
**Crystal system**: orthorhombic

=====

Entry from Alexandria via LeMat-Bulk: crystalline Rb2VTe4 at its relaxed geometry (GGA-PBE).

Cell: 10.091 10.091 10.091 Å, 149.32 149.32 43.94°
Positions (direct):
1 Rb 0.154 0.154 0.000
2 Rb 0.846 0.846 0.000
3 V 0.500 0.500 0.000
4 Te 0.000 0.500 0.500
5 Te 0.354 0.354 0.000
6 Te 0.500 0.000 0.500
7 Te 0.646 0.646 0.000

## Properties
**Density**: 4.6 g cm⁻³
**Formation energy (no corrections)**: -272.4 kJ/mol of formula units
**Total DFT energy (no corrections)**: -3.778 eV per atom
**Crystal system**: tetragonal

=====

Entry from Alexandria via LeMat-Bulk: crystalline RbV2TeW at its relaxed geometry (GGA-PBE).

Cell: 4.966 4.966 6.099 Å, 90.00 90.00 90.00°
Positions (direct):
1 Rb 0.000 0.000 0.000
2 V 0.000 0.500 0.500
3 V 0.500 0.000 0.500
4 Te 0.000 0.000 0.500
5 W 0.500 0.500 0.000

## Properties
**Density**: 5.5 g cm⁻³
**Formation energy (no corrections)**: 1102.5 kJ/mol of formula units
**Total DFT energy (no corrections)**: -4.775 eV per atom
**Crystal system**: tetragonal

=====

Entry from Alexandria via LeMat-Bulk: crystalline Rb3Y3VTe8 at its relaxed geometry (GGA-PBE).

Cell: 8.686 8.686 10.193 Å, 115.31 115.31 59.92°
Positions (direct):
1 Rb 0.000 0.000 0.000
2 Rb 0.000 0.500 0.000
3 Rb 0.500 0.000 0.000
4 Y 0.000 0.500 0.500
5 Y 0.500 0.000 0.500
6 Y 0.500 0.500 0.500
7 V 0.000 0.000 0.500
8 Te 0.216 0.216 0.687
9 Te 0.216 0.755 0.687
10 Te 0.245 0.784 0.313
11 Te 0.266 0.266 0.298
12 Te 0.734 0.734 0.702
13 Te 0.755 0.216 0.687
14 Te 0.784 0.245 0.313
15 Te 0.784 0.784 0.313

## Properties
**Density**: 4.6 g cm⁻³
**Formation energy (no corrections)**: -1600.1 kJ/mol of formula units
**Total DFT energy (no corrections)**: -4.875 eV per atom
**Crystal system**: monoclinic

=====

Entry from Alexandria via LeMat-Bulk: crystalline RbV2ZnTe at its relaxed geometry (GGA-PBE).

Cell: 5.077 5.077 5.612 Å, 90.00 90.00 90.00°
Positions (direct):
1 Rb 0.000 0.000 0.000
2 V 0.000 0.500 0.500
3 V 0.500 0.000 0.500
4 Zn 0.500 0.500 0.500
5 Te 0.500 0.500 0.000

## Properties
**Density**: 4.4 g cm⁻³
**Formation energy (no corrections)**: 435.2 kJ/mol of formula units
**Total DFT energy (no corrections)**: -3.822 eV per atom
**Crystal system**: tetragonal